A relaxed TaNiO2 crystal. Source: Alexandria via LeMat-Bulk, functional PBE with a Hubbard U.

Calculated values
Its volume is 9.4 Å³/atom. The calculation puts the total magnetic moment at 0.00 Bohr magnetons per cell. Its energy above the most stable polymorph in this dataset is 689.8 meV/atom.

Cell lengths 3.763, 3.763, 3.763 Å; angles 60.00, 60.00, 60.00 degrees
Fractional coordinates of all 4 atoms:
1 O 0.750 0.750 0.750
2 O 0.250 0.250 0.250
3 Ta 0.500 0.500 0.500
4 Ni 0.000 0.000 0.000